Entry 1:
First-principles (PBE) data for a relaxed structure of Na2HgPtPb, as listed in Alexandria via LeMat-Bulk.

abc: 5.516 5.516 5.179
angles: 90.00 90.00 90.00
Sites, in units of the cell vectors:
1 Pb 0.000 0.000 0.500
2 Na 0.000 0.500 0.000
3 Na 0.500 0.000 0.000
4 Hg 0.500 0.500 0.500
5 Pt 0.000 0.000 0.000

Properties
- SG = P4/mmm
- ΔE_f (eV per atom) = -0.070
- magnetization (μB/f.u.) = 0.00
- VASP energy (eV per cell) = -13.0



Entry 2:
First-principles (PBE) data for a relaxed structure of NaHgPtPb2, as listed in Alexandria via LeMat-Bulk.

abc: 5.320 5.320 5.553
angles: 90.00 90.00 90.00
Sites, in units of the cell vectors:
1 Pb 0.000 0.500 0.000
2 Pb 0.500 0.000 0.000
3 Na 0.000 0.000 0.500
4 Hg 0.500 0.500 0.500
5 Pt 0.000 0.000 0.000

Properties
- SG = P4/mmm
- ΔE_f (eV per atom) = -0.032
- magnetization (μB/f.u.) = 0.00
- VASP energy (eV per cell) = -15.2



Entry 3:
First-principles (PBE) data for a relaxed structure of NaPuHgPb, as listed in Alexandria via LeMat-Bulk.

abc: 3.415 3.415 9.209
angles: 90.00 90.00 90.00
Site moments in Bohr magnetons follow the coordinates.
Sites, in units of the cell vectors:
1 Na 0.500 0.500 0.117  0.00
2 Pu 0.500 0.500 0.596  5.65
3 Hg 0.000 0.000 0.355  0.03
4 Pb 0.000 0.000 0.860  -0.01

Properties
- SG = P4mm
- ΔE_f (eV per atom) = -0.162
- magnetization (μB/f.u.) = 6.12
- VASP energy (eV per cell) = -20.3



Entry 4:
First-principles (PBE) data for a relaxed structure of NaPuHgPb, as listed in Alexandria via LeMat-Bulk.

abc: 5.351 5.351 5.351
angles: 60.00 60.00 60.00
Site moments in Bohr magnetons follow the coordinates.
Sites, in units of the cell vectors:
1 Pb 0.250 0.250 0.250  -0.07
2 Na 0.000 0.000 0.000  0.00
3 Hg 0.750 0.750 0.750  0.00
4 Pu 0.500 0.500 0.500  5.37

Properties
- SG = F-43m
- ΔE_f (eV per atom) = -0.136
- magnetization (μB/f.u.) = 5.39
- VASP energy (eV per cell) = -20.2



Entry 5:
First-principles (PBE) data for a relaxed structure of RbNa2HgPb, as listed in Alexandria via LeMat-Bulk.

abc: 5.924 5.924 5.881
angles: 90.00 90.00 90.00
Sites, in units of the cell vectors:
1 Pb 0.000 0.000 0.500
2 Na 0.000 0.500 0.000
3 Na 0.500 0.000 0.000
4 Hg 0.000 0.000 0.000
5 Rb 0.500 0.500 0.500

Properties
- SG = P4/mmm
- ΔE_f (eV per atom) = -0.034
- magnetization (μB/f.u.) = 0.00
- VASP energy (eV per cell) = -7.8



Entry 6:
First-principles (PBE) data for a relaxed structure of RbNaHg2Pb, as listed in Alexandria via LeMat-Bulk.

abc: 6.085 6.085 5.920
angles: 90.00 90.00 90.00
Sites, in units of the cell vectors:
1 Pb 0.000 0.000 0.000
2 Na 0.000 0.000 0.500
3 Hg 0.000 0.500 0.000
4 Hg 0.500 0.000 0.000
5 Rb 0.500 0.500 0.500

Properties
- SG = P4/mmm
- ΔE_f (eV per atom) = -0.052
- magnetization (μB/f.u.) = 0.00
- VASP energy (eV per cell) = -6.9



Entry 7:
First-principles (PBE) data for a relaxed structure of RbNaHg4Pb2, as listed in Alexandria via LeMat-Bulk.

abc: 5.203 5.203 11.185
angles: 76.55 76.55 60.00
Sites, in units of the cell vectors:
1 Rb 0.000 0.000 0.000
2 Na 0.500 0.500 0.500
3 Hg 0.399 0.399 0.803
4 Hg 0.870 0.870 0.391
5 Hg 0.130 0.130 0.609
6 Hg 0.601 0.601 0.197
7 Pb 0.763 0.763 0.711
8 Pb 0.237 0.237 0.289

Properties
- SG = R-3m
- ΔE_f (eV per atom) = -0.141
- magnetization (μB/f.u.) = 0.00
- VASP energy (eV per cell) = -12.0



Entry 8:
First-principles (PBE) data for a relaxed structure of RbNa2HgPb, as listed in Alexandria via LeMat-Bulk.

abc: 6.036 6.036 6.093
angles: 90.00 90.00 90.00
Sites, in units of the cell vectors:
1 Pb 0.000 0.000 0.000
2 Na 0.000 0.500 0.000
3 Na 0.500 0.000 0.000
4 Hg 0.000 0.000 0.500
5 Rb 0.500 0.500 0.500

Properties
- SG = P4/mmm
- ΔE_f (eV per atom) = -0.066
- magnetization (μB/f.u.) = 0.00
- VASP energy (eV per cell) = -7.9